CaTeBr2 after structural relaxation. Source: Alexandria, functional PBE-GGA.

Calculated values
DOS(E_F) = 0.89 states/eV/cell
VASP energy = -3.09 eV/atom
Energy relative to the elements, uncorrected = -0.965 eV per atom
Energy relative to the lowest polymorph listed for this composition = 0.2012 eV per atom

Cell lengths 5.067, 5.067, 5.610 Å; angles 90.00, 90.00, 89.98 degrees
Element x y z (fractional)
Ca (0.000, 0.000, 0.615)
Te (0.500, 0.500, 0.615)
Br (0.000, 0.000, 0.110)
Br (0.500, 0.500, 0.159)

Ca2TiTeBr after structural relaxation. Source: Alexandria, functional PBE-GGA.

Calculated values
DOS(E_F) = 2.84 states/eV/cell
VASP energy = -3.55 eV/atom
Energy relative to the elements, uncorrected = -0.205 eV per atom

Cell lengths 5.978, 5.978, 4.775 Å; angles 90.00, 90.00, 90.00 degrees
Site moments in Bohr magnetons follow the coordinates.
Element x y z (fractional)
Ca (0.000, 0.500, 0.000)  0.12
Ca (0.500, 0.000, 0.000)  0.12
Te (0.500, 0.500, 0.500)  0.02
Br (0.000, 0.000, 0.500)  -0.03
Ti (0.000, 0.000, 0.000)  1.71

CaThBr after structural relaxation. Source: Alexandria, functional PBE-GGA.

Calculated values
DOS(E_F) = 6.63 states/eV/cell
VASP energy = -4.47 eV/atom
Energy relative to the elements, uncorrected = -0.775 eV per atom

Cell lengths 3.828, 3.828, 21.047 Å; angles 58.08, 58.08, 58.76 degrees
Element x y z (fractional)
Th (0.902, 0.902, 0.071)
Th (0.851, 0.851, 0.236)
Ca (0.813, 0.813, 0.428)
Ca (0.940, 0.940, 0.880)
Br (0.276, 0.276, 0.536)
Br (0.477, 0.477, 0.772)

Ca2ThBr8 after structural relaxation. Source: Alexandria, functional PBE-GGA.

Calculated values
DOS(E_F) = 0.00 states/eV/cell
VASP energy = -4.03 eV/atom
Energy relative to the elements, uncorrected = -1.770 eV per atom

Cell lengths 7.093, 7.842, 8.261 Å; angles 88.88, 115.42, 90.00 degrees
Element x y z (fractional)
Ca (0.138, 0.466, 0.276)
Ca (0.862, 0.534, 0.724)
Th (0.000, 0.000, 0.000)
Br (0.714, 0.279, 0.930)
Br (0.216, 0.279, 0.930)
Br (0.286, 0.721, 0.070)
Br (0.696, 0.400, 0.393)
Br (0.784, 0.721, 0.070)
Br (0.182, 0.102, 0.364)
Br (0.818, 0.898, 0.636)
Br (0.304, 0.600, 0.607)

CaTi3Br after structural relaxation. Source: Alexandria, functional PBE-GGA.

Calculated values
DOS(E_F) = 7.79 states/eV/cell
VASP energy = -3.70 eV/atom
Energy relative to the elements, uncorrected = 1.776 eV per atom
Energy relative to the lowest polymorph listed for this composition = 1.3751 eV per atom

Cell lengths 5.004, 5.004, 5.004 Å; angles 90.00, 90.00, 90.00 degrees
Site moments in Bohr magnetons follow the coordinates.
Element x y z (fractional)
Ca (0.000, 0.000, 0.000)  0.17
Br (0.500, 0.500, 0.500)  -0.01
Ti (0.000, 0.500, 0.000)  0.84
Ti (0.000, 0.000, 0.500)  0.81
Ti (0.500, 0.000, 0.000)  0.83

CaTiBr2 after structural relaxation. Source: Alexandria, functional PBE-GGA.

Calculated values
DOS(E_F) = 3.97 states/eV/cell
VASP energy = -3.98 eV/atom
Energy relative to the elements, uncorrected = -0.668 eV per atom
Energy relative to the lowest polymorph listed for this composition = 0.0000 eV per atom

Cell lengths 9.772, 9.772, 9.772 Å; angles 22.78, 22.78, 22.78 degrees
Site moments in Bohr magnetons follow the coordinates.
Element x y z (fractional)
Ca (0.000, 0.000, 0.000)  0.02
Br (0.889, 0.889, 0.889)  0.00
Br (0.111, 0.111, 0.111)  0.00
Ti (0.500, 0.500, 0.500)  1.82

Ca3TiBr after structural relaxation. Source: Alexandria, functional PBE-GGA.

Calculated values
DOS(E_F) = 2.54 states/eV/cell
VASP energy = -2.72 eV/atom
Energy relative to the elements, uncorrected = 0.395 eV per atom
Energy relative to the lowest polymorph listed for this composition = 0.3283 eV per atom

Cell lengths 5.963, 5.963, 5.963 Å; angles 90.00, 90.00, 90.00 degrees
Site moments in Bohr magnetons follow the coordinates.
Element x y z (fractional)
Ca (0.000, 0.500, 0.000)  0.20
Ca (0.000, 0.000, 0.500)  0.21
Ca (0.500, 0.000, 0.000)  0.15
Br (0.500, 0.500, 0.500)  0.05
Ti (0.000, 0.000, 0.000)  2.24

CaTiBr2 after structural relaxation. Source: Alexandria, functional PBE-GGA.

Calculated values
DOS(E_F) = 5.11 states/eV/cell
VASP energy = -3.88 eV/atom
Energy relative to the elements, uncorrected = -0.570 eV per atom
Energy relative to the lowest polymorph listed for this composition = 0.0988 eV per atom

Cell lengths 5.256, 5.256, 9.251 Å; angles 73.50, 73.50, 90.00 degrees
Site moments in Bohr magnetons follow the coordinates.
Element x y z (fractional)
Ca (0.500, 0.500, 0.000)  0.17
Ca (0.250, 0.750, 0.500)  0.17
Br (0.655, 0.125, 0.250)  0.02
Br (0.095, 0.625, 0.250)  0.02
Br (0.375, 0.345, 0.750)  0.02
Br (0.875, 0.905, 0.750)  0.02
Ti (0.000, 0.000, 0.000)  2.07
Ti (0.750, 0.250, 0.500)  2.06